# 1
{
  "formula": "La2Er3Tm7",
  "functional": "PBE",
  "state": "optimized geometry",
  "crystal_system": "orthorhombic",
  "polymorph_energy_mev_per_atom": 69,
  "ef_ev_per_atom": 0.16,
  "magmom_total_mub_per_atom": 0.000,
  "lattice_angstrom": [[-0.2848, -0.2155, -3.5532], [-3.9129, -4.2129, 0.5691], [-11.7407, 14.8721, 0.0393]],
  "species": ["Tm", "Tm", "Tm", "Tm", "Tm", "Tm", "Tm", "Er", "Er", "Er", "La", "La"],
  "fractional_positions": [[0.0000, 0.4289, 0.8578], [0.0000, 0.2726, 0.5452], [0.5000, 0.9140, 0.8281], [0.0000, 0.7274, 0.4548], [0.0000, 0.0000, 0.0000], [0.0000, 0.5711, 0.1422], [0.5000, 0.0860, 0.1719], [0.5000, 0.6471, 0.2943], [0.5000, 0.5000, 0.0000], [0.5000, 0.3529, 0.7057], [0.0000, 0.8251, 0.6503], [0.0000, 0.1749, 0.3497]]
}

---

# 2
{
  "formula": "PmNiSnRu",
  "functional": "PBE",
  "state": "optimized geometry",
  "crystal_system": "cubic",
  "ef_ev_per_atom": -0.26,
  "magmom_total_mub_per_atom": 0.000,
  "lattice_angstrom": [[4.7173, 0.0000, 0.0000], [2.3587, 4.0853, 0.0000], [2.3587, 1.3618, 3.8517]],
  "species": ["Ni", "Pm", "Sn", "Ru"],
  "fractional_positions": [[0.5000, 0.5000, 0.5000], [0.2500, 0.2500, 0.2500], [0.7500, 0.7500, 0.7500], [0.0000, 0.0000, 0.0000]]
}

---

# 3
{
  "formula": "KScOs",
  "functional": "PBE",
  "state": "optimized geometry",
  "crystal_system": "cubic",
  "polymorph_energy_mev_per_atom": 658,
  "ef_ev_per_atom": 1.15,
  "magmom_total_mub_per_atom": 0.000,
  "lattice_angstrom": [[4.7314, 0.0000, 0.0000], [2.3657, 4.0975, 0.0000], [2.3657, 1.3658, 3.8632]],
  "species": ["Os", "Sc", "K"],
  "fractional_positions": [[0.7500, 0.7500, 0.7500], [0.0000, 0.0000, 0.0000], [0.5000, 0.5000, 0.5000]]
}

---

Please write out number 1 again, unchanged.
{
  "formula": "La2Er3Tm7",
  "functional": "PBE",
  "state": "optimized geometry",
  "crystal_system": "orthorhombic",
  "polymorph_energy_mev_per_atom": 69,
  "ef_ev_per_atom": 0.16,
  "magmom_total_mub_per_atom": 0.000,
  "lattice_angstrom": [[-0.2848, -0.2155, -3.5532], [-3.9129, -4.2129, 0.5691], [-11.7407, 14.8721, 0.0393]],
  "species": ["Tm", "Tm", "Tm", "Tm", "Tm", "Tm", "Tm", "Er", "Er", "Er", "La", "La"],
  "fractional_positions": [[0.0000, 0.4289, 0.8578], [0.0000, 0.2726, 0.5452], [0.5000, 0.9140, 0.8281], [0.0000, 0.7274, 0.4548], [0.0000, 0.0000, 0.0000], [0.0000, 0.5711, 0.1422], [0.5000, 0.0860, 0.1719], [0.5000, 0.6471, 0.2943], [0.5000, 0.5000, 0.0000], [0.5000, 0.3529, 0.7057], [0.0000, 0.8251, 0.6503], [0.0000, 0.1749, 0.3497]]
}